<w>
Crystalline Zr4ZnRu at its relaxed geometry, computed with PBE.

Geometry as POSCAR:
```
Zr4ZnRu
1.0
0.000 3.954 3.954
3.954 0.000 3.954
3.954 3.954 0.000
Zr Zn Ru
4 1 1
Cartesian
4.931 2.977 4.931
4.931 4.931 2.977
2.977 4.931 4.931
2.977 2.977 2.977
0.000 0.000 0.000
5.932 5.932 5.932
```

Summary:
Spin magnetization ... 0.000 μB per cell

***

<x>
Crystalline Zr4ZnRu at its relaxed geometry, computed with PBE.

Geometry as POSCAR:
```
Zr4ZnRu
1.0
4.580 0.000 0.000
2.290 4.039 0.255
2.290 0.958 7.338
Zr Zn Ru
4 1 1
Cartesian
2.290 1.076 4.700
4.580 2.339 6.606
6.870 3.920 2.893
4.580 2.658 0.987
4.580 2.498 3.796
0.000 0.000 0.000
```

Summary:
Spin magnetization ... 0.000 μB per cell

***

It turns out <x> is the most stable, with the second structure 0.480 eV/atom higher.